# TaPIr PBE-GGA optimized geometry
data_TaPIr
_chemical_formula_sum 'Ta2 P2 Ir2'
_cell_length_a 2.9586
_cell_length_b 2.9586
_cell_length_c 10.1038
_cell_angle_alpha 90.00
_cell_angle_beta 90.00
_cell_angle_gamma 90.00
_symmetry_space_group_name_H-M 'I 4 m m'
_symmetry_Int_Tables_number 107
_symmetry_space_group_name_Hall 'I 4 -2'
loop_
_atom_site_label
_atom_site_type_symbol
_atom_site_fract_x
_atom_site_fract_y
_atom_site_fract_z
Ta1 Ta 0.0000 0.0000 0.0000
P1 P 0.0000 0.0000 0.6535
Ir1 Ir 0.0000 0.0000 0.3080
# DOS at the Fermi energy ... 2.65 states/eV/f.u.
# ΔH_f (0 K) ... -0.353 eV/atom
# M_tot ... 0.0000 μB per atom

# Sn2Pt9Rh PBE-GGA optimized geometry
data_Sn2Pt9Rh
_chemical_formula_sum 'Sn2 Pt9 Rh1'
_cell_length_a 4.0183
_cell_length_b 4.0183
_cell_length_c 12.0870
_cell_angle_alpha 90.00
_cell_angle_beta 90.00
_cell_angle_gamma 90.00
_symmetry_space_group_name_H-M 'P 4/m m m'
_symmetry_Int_Tables_number 123
_symmetry_space_group_name_Hall '-P 4 2'
loop_
_atom_site_label
_atom_site_type_symbol
_atom_site_fract_x
_atom_site_fract_y
_atom_site_fract_z
Sn1 Sn 0.0000 0.0000 0.1715
Pt1 Pt 0.0000 0.5000 0.0000
Pt2 Pt 0.0000 0.5000 0.3385
Pt3 Pt 0.5000 0.5000 0.1689
Pt4 Pt 0.5000 0.5000 0.5000
Rh1 Rh 0.0000 0.0000 0.5000
# DOS at the Fermi energy ... 15.27 states/eV/f.u.
# ΔH_f (0 K) ... -0.226 eV/atom
# M_tot ... 0.1338 μB per atom